Below is an optimized crystal structure of CsTl2CdPt, with properties calculated at the PBE level.

Unit cell a=5.3806 b=5.3806 c=6.6837 alpha=90.00 beta=90.00 gamma=90.00
Last column: nearest neighbours and their distance in Å.
Fractional positions:
Cs (0.0000, 0.0000, 0.5000)  2 Pt 3.34
Tl (0.0000, 0.5000, 0.0000)  2 Pt 2.69
Tl (0.5000, 0.0000, 0.0000)  2 Pt 2.69
Pt (0.0000, 0.0000, 0.0000)  4 Tl 2.69
Cd (0.5000, 0.5000, 0.5000)  4 Cs 3.80

## Properties
Energy relative to the elements ... 0.022 eV/atom

---

Below is an optimized crystal structure of CsZn2CdPt, with properties calculated at the PBE level.

Unit cell a=5.0739 b=5.0739 c=5.3830 alpha=90.00 beta=90.00 gamma=90.00
Last column: nearest neighbours and their distance in Å.
Fractional positions:
Cs (0.5000, 0.5000, 0.5000)  4 Cd 3.59, 8 Zn 3.70
Zn (0.0000, 0.5000, 0.0000)  2 Pt 2.54
Zn (0.5000, 0.0000, 0.0000)  2 Pt 2.54
Pt (0.0000, 0.0000, 0.0000)  4 Zn 2.54, 2 Cd 2.69
Cd (0.0000, 0.0000, 0.5000)  2 Pt 2.69

## Properties
Energy relative to the elements ... -0.240 eV/atom